Record 1
Computed, not measured: crystalline Dy5Pd2Ru at its relaxed geometry at the PBE level of DFT.

* E_tot: -5.93 eV/atom
* space-group type: No. 55
* magnetization: 0.000 μB/atom
* formation enthalpy at 0 K: -0.5929 eV/atom
* DOS(E_F): 6.26 states/eV/f.u.

Cell: 7.8531 11.8806 4.2344 Å, 90.00 90.00 90.00°
Closest atoms and distances in Å follow each position.
Positions (direct):
1 Dy 0.0000 0.0000 0.0000  4 Pd 2.96
2 Dy 0.1585 0.2990 0.0000  1 Ru 2.69
3 Dy 0.1802 0.5846 0.5000  2 Ru 2.74
4 Dy 0.3198 0.0846 0.5000  2 Ru 2.74
5 Dy 0.3415 0.7990 0.0000  1 Ru 2.69
6 Dy 0.5000 0.5000 0.0000  4 Pd 2.96
7 Dy 0.6585 0.2010 0.0000  1 Ru 2.69
8 Dy 0.6802 0.9154 0.5000  2 Ru 2.74
9 Dy 0.8198 0.4154 0.5000  2 Ru 2.74
10 Dy 0.8415 0.7010 0.0000  1 Ru 2.69
11 Pd 0.0534 0.8297 0.5000  8 Dy 2.96-3.12
12 Pd 0.4466 0.3297 0.5000  8 Dy 2.96-3.12
13 Pd 0.5534 0.6703 0.5000  8 Dy 2.96-3.12
14 Pd 0.9466 0.1703 0.5000  8 Dy 2.96-3.12
15 Ru 0.0000 0.5000 0.0000  6 Dy 2.69-2.74
16 Ru 0.5000 0.0000 0.0000  6 Dy 2.69-2.74


Record 2
Computed, not measured: crystalline Dy4PdRu at its relaxed geometry at the PBE level of DFT.

* E_tot: -5.89 eV/atom
* space-group type: No. 123
* excess energy over the best structure of this formula in the dataset: 45 meV/atom
* magnetization: 0.000 μB/atom
* formation enthalpy at 0 K: -0.4111 eV/atom
* DOS(E_F): 4.06 states/eV/f.u.

Cell: 4.8235 4.8235 6.8599 Å, 90.00 90.00 90.00°
Closest atoms and distances in Å follow each position.
Positions (direct):
1 Dy 0.0000 0.5000 0.2424  2 Ru 2.93, 2 Pd 2.99
2 Dy 0.0000 0.5000 0.7576  2 Ru 2.93, 2 Pd 2.99
3 Dy 0.5000 0.0000 0.2424  2 Ru 2.93, 2 Pd 2.99
4 Dy 0.5000 0.0000 0.7576  2 Ru 2.93, 2 Pd 2.99
5 Pd 0.0000 0.0000 0.5000  8 Dy 2.99
6 Ru 0.5000 0.5000 0.0000  8 Dy 2.93


Record 3
Computed, not measured: crystalline Dy5Pd4Ru at its relaxed geometry at the PBE level of DFT.

* E_tot: -6.11 eV/atom
* space-group type: No. 123
* magnetization: 0.000 μB/atom
* formation enthalpy at 0 K: -0.8055 eV/atom
* DOS(E_F): 5.22 states/eV/f.u.

Cell: 3.4553 3.4553 17.7293 Å, 90.00 90.00 90.00°
Closest atoms and distances in Å follow each position.
Positions (direct):
1 Dy 0.0000 0.0000 0.0000  8 Pd 3.03
2 Dy 0.0000 0.0000 0.2027  8 Pd 3.00-3.04
3 Dy 0.0000 0.0000 0.4062  4 Ru 2.96, 4 Pd 3.07
4 Dy 0.0000 0.0000 0.5938  4 Ru 2.96, 4 Pd 3.07
5 Dy 0.0000 0.0000 0.7973  8 Pd 3.00-3.04
6 Pd 0.5000 0.5000 0.1011  8 Dy 3.03-3.04
7 Pd 0.5000 0.5000 0.3010  8 Dy 3.00-3.07
8 Pd 0.5000 0.5000 0.6990  8 Dy 3.00-3.07
9 Pd 0.5000 0.5000 0.8989  8 Dy 3.03-3.04
10 Ru 0.5000 0.5000 0.5000  8 Dy 2.96